Computed, not measured: an optimized crystal structure of MgMoBr2 at the PBE-GGA level of DFT.

As for the crystal system: tetragonal. As for the density of states at the Fermi level: 1.196 states/eV per atom. The formation energy without anion corrections comes out at 565 meV per atom. For the energy above the most stable polymorph in this dataset, the calculation gives 304.6 kJ/mol of formula units.

The space group is I-42d (No. 122) and the conventional cell measures 5.9583, 5.9583 and 11.7120 Å, with angles of 90.00, 90.00 and 90.00 degrees. The asymmetric unit holds Mg at (0.0000, 0.0000, 0.0000), Mo at (0.0000, 0.0000, 0.5000) and Br at (0.2405, 0.2500, 0.6250).



Computed, not measured: an optimized crystal structure of CeLuCuAu at the PBE-GGA level of DFT.

Its energy of formation is -426 meV per atom. As for the crystal system: cubic. As for the density of states at the Fermi level: 1.886 states/eV per atom.

The space group is F-43m (No. 216) and the conventional cell measures 7.1139, 7.1139 and 7.1139 Å, with angles of 90.00, 90.00 and 90.00 degrees. The asymmetric unit holds Ce at (0.0000, 0.0000, 0.0000), Lu at (0.0000, 0.0000, 0.5000), Cu at (0.2500, 0.2500, 0.7500) and Au at (0.2500, 0.2500, 0.2500).



Computed, not measured: an optimized crystal structure of CaTl2In at the PBE-GGA level of DFT.

Its energy of formation is -216 meV per atom. As for the crystal system: monoclinic. As for the density of states at the Fermi level: 0.351 states/eV per atom.

The space group is C2/m (No. 12) and the conventional cell measures 10.7782, 3.7504 and 5.8509 Å, with angles of 90.00, 101.74 and 90.00 degrees. The asymmetric unit holds Ca at (0.0000, 0.0000, 0.0000), Tl at (0.2457, 0.0000, 0.7409) and In at (0.0000, 0.5000, 0.5000).



Computed, not measured: an optimized crystal structure of NaHgSe at the PBE-GGA level of DFT.

As for the crystal system: orthorhombic. As for the density of states at the Fermi level: 0.094 states/eV per atom. The formation energy without anion corrections comes out at -498 meV per atom. For the energy above the most stable polymorph in this dataset, the calculation gives 26.5 kJ/mol of formula units.

The space group is Cmc2_1 (No. 36) and the conventional cell measures 5.1982, 13.9713 and 5.4781 Å, with angles of 90.00, 90.00 and 90.00 degrees. The asymmetric unit holds Na at (0.0000, 0.1913, 0.0000), Hg at (0.0000, 0.4060, 0.1604) and Se at (0.0000, 0.3741, 0.6633).



Computed, not measured: an optimized crystal structure of La4HgI5 at the PBE-GGA level of DFT.

As for the crystal system: monoclinic. As for the density of states at the Fermi level: 0.475 states/eV per atom. The formation energy without anion corrections comes out at -1156 meV per atom.

The space group is C2/m (No. 12) and the conventional cell measures 19.7989, 4.3901 and 9.4857 Å, with angles of 90.00, 101.88 and 90.00 degrees. The asymmetric unit holds La at (0.0021, 0.0000, 0.2324), La at (0.1614, 0.5000, 0.0727), Hg at (0.0000, 0.5000, 0.0000), I at (0.0000, 0.5000, 0.5000), I at (0.1690, 0.0000, 0.8156) and I at (0.1697, 0.0000, 0.3325).



Computed, not measured: an optimized crystal structure of K3SF at the PBE-GGA level of DFT.

As for the crystal system: cubic. As for the density of states at the Fermi level: 0.000 states/eV per atom. The formation energy without anion corrections comes out at -1665 meV per atom. For the energy above the most stable polymorph in this dataset, the calculation gives 0.0 kJ/mol of formula units.

The space group is Pm-3m (No. 221) and the conventional cell measures 5.0912, 5.0912 and 5.0912 Å, with angles of 90.00, 90.00 and 90.00 degrees. The asymmetric unit holds K at (0.0000, 0.0000, 0.5000), S at (0.5000, 0.5000, 0.5000) and F at (0.0000, 0.0000, 0.0000).



Q: Which formula does entry 5 have?
A: La4HgI5



Q: What is the formula in the first record?
A: MgMoBr2